## Pm12Al3O5 (PBE-GGA)

Data for a relaxed structure of Pm12Al3O5.

Unit cell a=13.7418 b=13.7418 c=13.7418 alpha=109.47 beta=109.47 gamma=109.47
Atoms (fractional coordinates):
Pm  0.0896  0.9037  0.3891
Pm  0.6859  0.4854  0.5963
Pm  0.4037  0.3891  0.5896
Pm  0.6109  0.5963  0.9104
Pm  0.7005  0.1109  0.0146
Pm  0.7995  0.4854  0.3891
Pm  0.3141  0.7995  0.4104
Pm  0.3891  0.9854  0.7995
Pm  0.0146  0.4037  0.8141
Pm  0.8141  0.9037  0.0146
Pm  0.5146  0.3141  0.9037
Pm  0.0146  0.6109  0.7005
Pm  0.9854  0.5963  0.1859
Pm  0.1859  0.0896  0.7005
Pm  0.3891  0.4037  0.0896
Pm  0.1109  0.7005  0.5146
Pm  0.8891  0.5896  0.9037
Pm  0.4854  0.6859  0.0963
Pm  0.4854  0.7995  0.8891
Pm  0.9037  0.0896  0.8891
Pm  0.8891  0.2995  0.4854
Pm  0.4037  0.0146  0.3141
Pm  0.5896  0.7005  0.6859
Pm  0.5963  0.9854  0.6859
Pm  0.2995  0.8891  0.9854
Pm  0.6109  0.0146  0.2005
Pm  0.9037  0.8141  0.5146
Pm  0.2995  0.4104  0.8141
Pm  0.7995  0.3141  0.9104
Pm  0.0896  0.1859  0.2005
Pm  0.8141  0.9104  0.2995
Pm  0.1859  0.0963  0.9854
Pm  0.1109  0.4104  0.0963
Pm  0.5146  0.2005  0.1109
Pm  0.2005  0.5146  0.6109
Pm  0.9104  0.0963  0.6109
Pm  0.3141  0.5146  0.4037
Pm  0.0963  0.1859  0.4854
Pm  0.5896  0.8891  0.4037
Pm  0.2005  0.6859  0.0896
Pm  0.4104  0.2995  0.3141
Pm  0.5963  0.6109  0.4104
Pm  0.0963  0.9104  0.1109
Pm  0.4104  0.1109  0.5963
Pm  0.9854  0.3891  0.2995
Pm  0.7005  0.5896  0.1859
Pm  0.9104  0.8141  0.7995
Pm  0.6859  0.2005  0.5896
O  0.3750  0.2500  0.1250
O  0.6250  0.7500  0.8750
O  0.8750  0.6250  0.7500
O  0.5000  0.5000  0.0000
O  0.0000  0.5000  0.5000
O  0.2500  0.8750  0.1250
O  0.5000  0.0000  0.5000
O  0.1250  0.3750  0.2500
O  0.0000  0.5000  0.0000
O  0.2500  0.3750  0.6250
O  0.7500  0.1250  0.8750
O  0.0000  0.0000  0.0000
O  0.7500  0.6250  0.3750
O  0.5000  0.0000  0.0000
O  0.5000  0.5000  0.5000
O  0.0000  0.0000  0.5000
O  0.6250  0.8750  0.2500
O  0.3750  0.1250  0.7500
O  0.8750  0.2500  0.6250
O  0.1250  0.7500  0.3750
Al  0.8750  0.1250  0.2500
Al  0.7500  0.8750  0.6250
Al  0.8750  0.7500  0.1250
Al  0.2500  0.6250  0.8750
Al  0.3750  0.7500  0.6250
Al  0.3750  0.6250  0.2500
Al  0.1250  0.2500  0.8750
Al  0.6250  0.2500  0.3750
Al  0.2500  0.1250  0.3750
Al  0.6250  0.3750  0.7500
Al  0.1250  0.8750  0.7500
Al  0.7500  0.3750  0.1250

Calculated values
The raw formation energy comes out at -141 kJ per mole of atoms. The total energy is -6.12 eV/atom. Its density of states at the Fermi level is 0.819 states/eV/atom.

---

## PuURu3 (PBE-GGA)

Data for a relaxed structure of PuURu3.

Unit cell a=5.7900 b=8.6657 c=6.4386 alpha=132.29 beta=116.72 gamma=90.00
Atoms (fractional coordinates):
Ru  0.1900  0.6900  0.8801
Ru  0.6900  0.6900  0.8801
Ru  0.3100  0.3100  0.1199
Ru  0.2500  0.9471  0.5000
Ru  0.8100  0.3100  0.1199
Ru  0.7500  0.0529  0.5000
Pu  0.7500  0.7303  0.5000
Pu  0.2500  0.2697  0.5000
U  0.0000  0.5000  0.0000
U  0.5000  0.0000  0.0000

Calculated values
For the formation energy, the calculation gives -0.11 eV per atom. The total energy is -10.80 eV/atom. Its density of states at the Fermi level is 2.084 states/eV/atom.

---

## ScW3Br (PBE-GGA)

Data for a relaxed structure of ScW3Br.

Unit cell a=4.7683 b=4.7683 c=4.7683 alpha=90.00 beta=90.00 gamma=90.00
Atoms (fractional coordinates):
Sc  0.0000  0.0000  0.0000
W  0.0000  0.0000  0.5000
W  0.0000  0.5000  0.0000
W  0.5000  0.0000  0.0000
Br  0.5000  0.5000  0.5000

Calculated values
The raw formation energy comes out at 271 kJ per mole of atoms. The total energy is -6.56 eV/atom. Its density of states at the Fermi level is 1.383 states/eV/atom.

---

## BeCr2Cu (PBE-GGA)

Data for a relaxed structure of BeCr2Cu.

Unit cell a=4.3780 b=4.3780 c=4.3780 alpha=131.54 beta=131.54 gamma=70.96
Atoms (fractional coordinates):
Be  0.7500  0.2500  0.5000
Cr  0.0000  0.0000  0.0000
Cr  0.2500  0.7500  0.5000
Cu  0.5000  0.5000  0.0000

Calculated values
For the formation energy, the calculation gives 0.21 eV per atom. The total energy is -6.56 eV/atom. Its density of states at the Fermi level is 0.587 states/eV/atom.